Material: AlRh2Se
Method: DFT, GGA-PBE
State: optimized geometry

## Properties
Offset from the most stable computed form (meV/atom): 71
Space group: R-3m (166)

Cell: 2.950 2.950 24.015 Å, 90.00 90.00 120.00°
Sites, in units of the cell vectors:
Al1 0.000 0.000 0.000
Al2 0.333 0.667 0.667
Al3 0.667 0.333 0.333
Rh1 0.000 0.000 0.252
Rh2 0.000 0.000 0.748
Rh3 0.333 0.667 0.415
Rh4 0.333 0.667 0.919
Rh5 0.667 0.333 0.081
Rh6 0.667 0.333 0.585
Se1 0.000 0.000 0.500
Se2 0.333 0.667 0.167
Se3 0.667 0.333 0.833

=====

Material: AlRh2Se
Method: DFT, GGA-PBE
State: optimized geometry

## Properties
Offset from the most stable computed form (meV/atom): 0
Space group: P2/m (10)

Cell: 3.021 3.023 6.499 Å, 90.00 90.08 90.00°
Sites, in units of the cell vectors:
Al1 0.000 0.000 0.000
Rh1 0.498 0.500 0.771
Rh2 0.502 0.500 0.229
Se1 0.000 0.000 0.500

=====

Material: AlRh2Se
Method: DFT, GGA-PBE
State: optimized geometry

## Properties
Offset from the most stable computed form (meV/atom): 95
Space group: P2/m (10)

Cell: 4.189 3.105 5.054 Å, 90.00 112.10 90.00°
Sites, in units of the cell vectors:
Al1 0.000 0.000 0.000
Rh1 0.500 0.000 0.500
Rh2 0.500 0.500 0.000
Se1 0.000 0.500 0.500

=====

Material: Al3RhSe
Method: DFT, GGA-PBE
State: optimized geometry

## Properties
Offset from the most stable computed form (meV/atom): 0
Space group: Pm-3m (221)

Cell: 4.730 4.730 4.730 Å, 90.00 90.00 90.00°
Sites, in units of the cell vectors:
Al1 0.000 0.000 0.500
Al2 0.000 0.500 0.000
Al3 0.500 0.000 0.000
Rh1 0.000 0.000 0.000
Se1 0.500 0.500 0.500

=====

Material: AlRhSe2
Method: DFT, GGA-PBE
State: optimized geometry

## Properties
Energy (eV per atom): -4.5094
Space group: P4/mmm (123)

Cell: 4.627 4.627 3.144 Å, 90.00 90.00 90.00°
Sites, in units of the cell vectors:
Al1 0.000 0.000 0.000
Rh1 0.500 0.500 0.000
Se1 0.000 0.500 0.500
Se2 0.500 0.000 0.500

=====

Material: AlRhSe
Method: DFT, GGA-PBE
State: optimized geometry

## Properties
Offset from the most stable computed form (meV/atom): 144
Space group: I4mm (107)

Cell: 3.378 3.378 8.419 Å, 90.00 90.00 90.00°
Sites, in units of the cell vectors:
Al1 0.000 0.000 0.000
Al2 0.500 0.500 0.500
Rh1 0.000 0.000 0.639
Rh2 0.500 0.500 0.139
Se1 0.000 0.000 0.332
Se2 0.500 0.500 0.832

=====

Material: AlRhSe
Method: DFT, GGA-PBE
State: optimized geometry

## Properties
Offset from the most stable computed form (meV/atom): 115
Space group: P3m1 (156)

Cell: 3.214 3.214 5.543 Å, 90.00 90.00 120.00°
Sites, in units of the cell vectors:
Al1 0.000 0.000 0.000
Rh1 0.333 0.667 0.310
Se1 0.667 0.333 0.648

=====

Material: AlRhSe
Method: DFT, GGA-PBE
State: optimized geometry

## Properties
Offset from the most stable computed form (meV/atom): 0
Space group: F-43m (216)

Cell: 5.968 5.968 5.968 Å, 90.00 90.00 90.00°
Sites, in units of the cell vectors:
Al1 0.000 0.000 0.000
Al2 0.000 0.500 0.500
Al3 0.500 0.000 0.500
Al4 0.500 0.500 0.000
Rh1 0.250 0.250 0.250
Rh2 0.250 0.750 0.750
Rh3 0.750 0.250 0.750
Rh4 0.750 0.750 0.250
Se1 0.000 0.000 0.500
Se2 0.000 0.500 0.000
Se3 0.500 0.000 0.000
Se4 0.500 0.500 0.500

=====

Material: AlRhSe
Method: DFT, GGA-PBE
State: optimized geometry

## Properties
Offset from the most stable computed form (meV/atom): 316
Space group: F-43m (216)

Cell: 5.985 5.985 5.985 Å, 90.00 90.00 90.00°
Sites, in units of the cell vectors:
Al1 0.000 0.000 0.000
Al2 0.000 0.500 0.500
Al3 0.500 0.000 0.500
Al4 0.500 0.500 0.000
Rh1 0.250 0.250 0.250
Rh2 0.250 0.750 0.750
Rh3 0.750 0.250 0.750
Rh4 0.750 0.750 0.250
Se1 0.250 0.250 0.750
Se2 0.250 0.750 0.250
Se3 0.750 0.250 0.250
Se4 0.750 0.750 0.750

=====

Material: TaAlRh2Se
Method: DFT, GGA-PBE
State: optimized geometry

## Properties
Energy (eV per atom): -6.2401
Space group: P4/mmm (123)

Cell: 4.533 4.533 4.740 Å, 90.00 90.00 90.00°
Sites, in units of the cell vectors:
Ta1 0.000 0.000 0.000
Al1 0.500 0.500 0.000
Rh1 0.000 0.500 0.500
Rh2 0.500 0.000 0.500
Se1 0.000 0.000 0.500

=====

Material: AlTlRh2Se
Method: DFT, GGA-PBE
State: optimized geometry

## Properties
Energy (eV per atom): -4.4444
Space group: P4/mmm (123)

Cell: 4.678 4.678 4.739 Å, 90.00 90.00 90.00°
Sites, in units of the cell vectors:
Al1 0.000 0.000 0.000
Tl1 0.500 0.500 0.500
Rh1 0.000 0.500 0.000
Rh2 0.500 0.000 0.000
Se1 0.000 0.000 0.500

=====

Material: Zr2AlRhSe
Method: DFT, GGA-PBE
State: optimized geometry

## Properties
Energy (eV per atom): -5.5448
Space group: P4/mmm (123)

Cell: 5.072 5.072 4.493 Å, 90.00 90.00 90.00°
Sites, in units of the cell vectors:
Zr1 0.000 0.500 0.000
Zr2 0.500 0.000 0.000
Al1 0.000 0.000 0.000
Rh1 0.500 0.500 0.500
Se1 0.000 0.000 0.500

=====

Material: AlSi2Rh
Method: DFT, GGA-PBE
State: optimized geometry

## Properties
Energy (eV per atom): -5.7097
Space group: Immm (71)

Cell: 2.762 4.160 10.822 Å, 90.00 90.00 90.00°
Sites, in units of the cell vectors:
Al1 0.000 0.000 0.000
Al2 0.500 0.500 0.500
Si1 0.000 0.500 0.200
Si2 0.000 0.500 0.800
Si3 0.500 0.000 0.300
Si4 0.500 0.000 0.700
Rh1 0.000 0.000 0.500
Rh2 0.500 0.500 0.000

=====

Material: AlSiRh
Method: DFT, GGA-PBE
State: optimized geometry

## Properties
Energy (eV per atom): -6.1183
Space group: F-43m (216)

Cell: 5.759 5.759 5.759 Å, 90.00 90.00 90.00°
Sites, in units of the cell vectors:
Al1 0.000 0.000 0.000
Al2 0.000 0.500 0.500
Al3 0.500 0.000 0.500
Al4 0.500 0.500 0.000
Si1 0.000 0.000 0.500
Si2 0.000 0.500 0.000
Si3 0.500 0.000 0.000
Si4 0.500 0.500 0.500
Rh1 0.250 0.250 0.250
Rh2 0.250 0.750 0.750
Rh3 0.750 0.250 0.750
Rh4 0.750 0.750 0.250

=====

Material: AlSiRh
Method: DFT, GGA-PBE
State: optimized geometry

## Properties
Energy (eV per atom): -6.1250
Space group: Cm (8)

Cell: 9.063 2.997 7.422 Å, 90.00 118.32 90.00°
Sites, in units of the cell vectors:
Al1 0.000 0.000 0.000
Al2 0.032 0.500 0.659
Al3 0.500 0.500 0.000
Al4 0.532 0.000 0.659
Si1 0.242 0.000 0.583
Si2 0.289 0.500 0.224
Si3 0.742 0.500 0.583
Si4 0.789 0.000 0.224
Rh1 0.047 0.500 0.320
Rh2 0.249 0.000 0.928
Rh3 0.547 0.000 0.320
Rh4 0.749 0.500 0.928

=====

Calculated volume, record by record: 181.0 59.4 60.9 105.8 67.3 96.1 49.6 212.5 214.4 97.4 103.7 115.6 124.3 191.0 177.4 Å³/cell